No. 1
The following is a PBE calculation of crystalline Pm2B at its relaxed geometry, from OQMD.

The space group is Fd-3m (No. 227, origin choice 2) and the conventional cell measures 11.3729, 11.3729 and 11.3729 Å, with angles of 90.00, 90.00 and 90.00 degrees. Symmetry generates all atoms from Pm at (0.0000, 0.0000, 0.0000) and B at (0.1250, 0.1250, 0.1250).

As for the energy relative to the lowest polymorph listed for this composition: 0 meV per atom.

No. 2
The following is a PBE calculation of crystalline PmB4 at its relaxed geometry, from OQMD.

The space group is P4/mbm (No. 127) and the conventional cell measures 7.1923, 7.1923 and 4.0896 Å, with angles of 90.00, 90.00 and 90.00 degrees. Symmetry generates all atoms from Pm at (0.1827, 0.3173, 0.0000), B at (0.0000, 0.0000, 0.2042), B at (0.0390, 0.8253, 0.5000) and B at (0.0878, 0.5878, 0.5000).

No. 3
The following is a PBE calculation of crystalline PmB at its relaxed geometry, from OQMD.

The space group is P-6m2 (No. 187) and the conventional cell measures 3.5572, 3.5572 and 3.7179 Å, with angles of 90.00, 90.00 and 120.00 degrees. Symmetry generates all atoms from Pm at (0.0000, 0.0000, 0.0000) and B at (0.3333, 0.6667, 0.5000).

As for the energy relative to the lowest polymorph listed for this composition: 154 meV per atom.

No. 4
The following is a PBE calculation of crystalline PmB at its relaxed geometry, from OQMD.

The space group is Fm-3m (No. 225) and the conventional cell measures 5.5207, 5.5207 and 5.5207 Å, with angles of 90.00, 90.00 and 90.00 degrees. Symmetry generates all atoms from Pm at (0.0000, 0.0000, 0.0000) and B at (0.0000, 0.0000, 0.5000).

As for the energy relative to the lowest polymorph listed for this composition: 0 meV per atom.

No. 5
The following is a PBE calculation of crystalline PmPrB at its relaxed geometry, from OQMD.

The space group is F-43m (No. 216) and the conventional cell measures 6.6247, 6.6247 and 6.6247 Å, with angles of 90.00, 90.00 and 90.00 degrees. Symmetry generates all atoms from Pm at (0.0000, 0.0000, 0.0000), Pr at (0.0000, 0.0000, 0.5000) and B at (0.2500, 0.2500, 0.2500).

As for the energy relative to the lowest polymorph listed for this composition: 0 meV per atom.

No. 6
The following is a PBE calculation of crystalline PmBPt at its relaxed geometry, from OQMD.

The space group is F-43m (No. 216) and the conventional cell measures 6.4568, 6.4568 and 6.4568 Å, with angles of 90.00, 90.00 and 90.00 degrees. Symmetry generates all atoms from Pm at (0.0000, 0.0000, 0.0000), B at (0.2500, 0.2500, 0.7500) and Pt at (0.2500, 0.2500, 0.2500).

As for the energy relative to the lowest polymorph listed for this composition: 761 meV per atom.

No. 7
The following is a PBE calculation of crystalline PmBPt at its relaxed geometry, from OQMD.

The space group is F-43m (No. 216) and the conventional cell measures 6.0385, 6.0385 and 6.0385 Å, with angles of 90.00, 90.00 and 90.00 degrees. Symmetry generates all atoms from Pm at (0.0000, 0.0000, 0.0000), B at (0.2500, 0.2500, 0.2500) and Pt at (0.0000, 0.0000, 0.5000).

As for the energy relative to the lowest polymorph listed for this composition: 0 meV per atom.

No. 8
The following is a PBE calculation of crystalline PmBPt at its relaxed geometry, from OQMD.

The space group is F-43m (No. 216) and the conventional cell measures 6.2980, 6.2980 and 6.2980 Å, with angles of 90.00, 90.00 and 90.00 degrees. Symmetry generates all atoms from Pm at (0.0000, 0.0000, 0.0000), B at (0.0000, 0.0000, 0.5000) and Pt at (0.2500, 0.2500, 0.7500).

As for the energy relative to the lowest polymorph listed for this composition: 359 meV per atom.

No. 9
The following is a PBE calculation of crystalline PmPuB at its relaxed geometry, from OQMD.

The space group is F-43m (No. 216) and the conventional cell measures 6.4067, 6.4067 and 6.4067 Å, with angles of 90.00, 90.00 and 90.00 degrees. Symmetry generates all atoms from Pm at (0.0000, 0.0000, 0.0000), Pu at (0.0000, 0.0000, 0.5000) and B at (0.2500, 0.2500, 0.2500).

As for the energy relative to the lowest polymorph listed for this composition: 0 meV per atom.

No. 10
The following is a PBE calculation of crystalline PmReB at its relaxed geometry, from OQMD.

The space group is F-43m (No. 216) and the conventional cell measures 6.3761, 6.3761 and 6.3761 Å, with angles of 90.00, 90.00 and 90.00 degrees. Symmetry generates all atoms from Pm at (0.0000, 0.0000, 0.0000), Re at (0.2500, 0.2500, 0.2500) and B at (0.2500, 0.2500, 0.7500).

As for the energy relative to the lowest polymorph listed for this composition: 1561 meV per atom.

No. 11
The following is a PBE calculation of crystalline PmReB at its relaxed geometry, from OQMD.

The space group is F-43m (No. 216) and the conventional cell measures 5.9476, 5.9476 and 5.9476 Å, with angles of 90.00, 90.00 and 90.00 degrees. Symmetry generates all atoms from Pm at (0.0000, 0.0000, 0.0000), Re at (0.0000, 0.0000, 0.5000) and B at (0.2500, 0.2500, 0.2500).

As for the energy relative to the lowest polymorph listed for this composition: 0 meV per atom.

No. 12
The following is a PBE calculation of crystalline PmB4Sb at its relaxed geometry, from OQMD.

The space group is P6/mmm (No. 191) and the conventional cell measures 3.2506, 3.2506 and 8.2159 Å, with angles of 90.00, 90.00 and 120.00 degrees. Symmetry generates all atoms from Pm at (0.0000, 0.0000, 0.0000), B at (0.3333, 0.6667, 0.2482) and Sb at (0.0000, 0.0000, 0.5000).

As for the energy relative to the lowest polymorph listed for this composition: 123 meV per atom.

no.,total DFT energy (no corrections) (eV per formula unit),spin magnetization (μB per formula unit)
1,-12.4,0.05
2,-34.4,0.00
3,-10.2,0.00
4,-10.5,0.77
5,-15.6,0.07
6,-15.6,0.00
7,-17.9,0.06
8,-16.8,0.40
9,-24.9,5.83
10,-17.3,1.15
11,-22.0,0.35
12,-34.6,0.01